[1]
Below is a PBEsol-optimized structure of CaSe2SCl, with properties calculated at the meta-GGA SCAN level.

Results
Total energy: -13.45 eV/atom
ΔE_f (raw): 0.032 eV per atom
D(E_F): 4.35 states/eV per cell

```
data_CaSe2SCl
_chemical_formula_sum 'Ca1 Se2 S1 Cl1'
_space_group_name_H-M_alt 'P 4/m m m'
_space_group_IT_number 123
_space_group_name_Hall '-P 4 2'
_cell_length_a 5.477
_cell_length_b 5.477
_cell_length_c 4.908
_cell_angle_alpha 90.00
_cell_angle_beta 90.00
_cell_angle_gamma 90.00
loop_
_atom_site_label
_atom_site_type_symbol
_atom_site_fract_x
_atom_site_fract_y
_atom_site_fract_z
_atom_site_occupancy
Ca1 Ca 0.000 0.000 0.000 1
Se1 Se 0.000 0.500 0.000 1
S1 S 0.500 0.500 0.500 1
Cl1 Cl 0.000 0.000 0.500 1
```

---

[2]
Below is a PBEsol-optimized structure of CaSnSCl2, with properties calculated at the meta-GGA SCAN level.

Results
Total energy: -15.20 eV/atom
ΔE_f (raw): -0.965 eV per atom
D(E_F): 0.69 states/eV per cell

```
data_CaSnSCl2
_chemical_formula_sum 'Ca1 Sn1 S1 Cl2'
_space_group_name_H-M_alt 'P 4/m m m'
_space_group_IT_number 123
_space_group_name_Hall '-P 4 2'
_cell_length_a 5.204
_cell_length_b 5.204
_cell_length_c 5.358
_cell_angle_alpha 90.00
_cell_angle_beta 90.00
_cell_angle_gamma 90.00
loop_
_atom_site_label
_atom_site_type_symbol
_atom_site_fract_x
_atom_site_fract_y
_atom_site_fract_z
_atom_site_occupancy
Ca1 Ca 0.000 0.000 0.000 1
Sn1 Sn 0.500 0.500 0.500 1
S1 S 0.500 0.500 0.000 1
Cl1 Cl 0.000 0.500 0.500 1
```

---

[3]
Below is a PBEsol-optimized structure of CaWSCl2, with properties calculated at the meta-GGA SCAN level.

Results
Total energy: -21.56 eV/atom
ΔE_f (raw): -0.569 eV per atom
D(E_F): 2.13 states/eV per cell

```
data_CaWSCl2
_chemical_formula_sum 'Ca1 W1 S1 Cl2'
_space_group_name_H-M_alt 'P 4/m m m'
_space_group_IT_number 123
_space_group_name_Hall '-P 4 2'
_cell_length_a 4.810
_cell_length_b 4.810
_cell_length_c 4.623
_cell_angle_alpha 90.00
_cell_angle_beta 90.00
_cell_angle_gamma 90.00
loop_
_atom_site_label
_atom_site_type_symbol
_atom_site_fract_x
_atom_site_fract_y
_atom_site_fract_z
_atom_site_occupancy
Ca1 Ca 0.000 0.000 0.000 1
W1 W 0.500 0.500 0.500 1
S1 S 0.500 0.500 0.000 1
Cl1 Cl 0.000 0.500 0.500 1
```

---

[4]
Below is a PBEsol-optimized structure of CaYSCl2, with properties calculated at the meta-GGA SCAN level.

Results
Total energy: -14.19 eV/atom
ΔE_f (raw): -1.570 eV per atom
D(E_F): 2.39 states/eV per cell

```
data_CaYSCl2
_chemical_formula_sum 'Ca1 Y1 S1 Cl2'
_space_group_name_H-M_alt 'P 4/m m m'
_space_group_IT_number 123
_space_group_name_Hall '-P 4 2'
_cell_length_a 4.964
_cell_length_b 4.964
_cell_length_c 5.361
_cell_angle_alpha 90.00
_cell_angle_beta 90.00
_cell_angle_gamma 90.00
loop_
_atom_site_label
_atom_site_type_symbol
_atom_site_fract_x
_atom_site_fract_y
_atom_site_fract_z
_atom_site_occupancy
Ca1 Ca 0.000 0.000 0.000 1
Y1 Y 0.500 0.500 0.500 1
S1 S 0.000 0.000 0.500 1
Cl1 Cl 0.000 0.500 0.000 1
```

---

[5]
Below is a PBEsol-optimized structure of CaSb2Cl2, with properties calculated at the meta-GGA SCAN level.

Results
Total energy: -20.90 eV/atom
ΔE_f (raw): -0.869 eV per atom
D(E_F): 3.04 states/eV per cell

```
data_CaSb2Cl2
_chemical_formula_sum 'Ca2 Sb4 Cl4'
_space_group_name_H-M_alt 'P 4/m b m'
_space_group_IT_number 127
_space_group_name_Hall '-P 4 2ab'
_cell_length_a 6.846
_cell_length_b 6.846
_cell_length_c 6.947
_cell_angle_alpha 90.00
_cell_angle_beta 90.00
_cell_angle_gamma 90.00
loop_
_atom_site_label
_atom_site_type_symbol
_atom_site_fract_x
_atom_site_fract_y
_atom_site_fract_z
_atom_site_occupancy
Ca1 Ca 0.000 0.000 0.000 1
Sb1 Sb 0.139 0.361 0.500 1
Cl1 Cl 0.169 0.669 0.000 1
```

---

[6]
Below is a PBEsol-optimized structure of CaSbCl2, with properties calculated at the meta-GGA SCAN level.

Results
Total energy: -16.69 eV/atom
Relative energy among the computed polymorphs: 0.5229 eV/atom
ΔE_f (raw): -0.971 eV per atom
D(E_F): 2.44 states/eV per cell

```
data_CaSbCl2
_chemical_formula_sum 'Ca1 Sb1 Cl2'
_space_group_name_H-M_alt 'P 4/m m m'
_space_group_IT_number 123
_space_group_name_Hall '-P 4 2'
_cell_length_a 4.679
_cell_length_b 4.679
_cell_length_c 4.274
_cell_angle_alpha 90.00
_cell_angle_beta 90.00
_cell_angle_gamma 90.00
loop_
_atom_site_label
_atom_site_type_symbol
_atom_site_fract_x
_atom_site_fract_y
_atom_site_fract_z
_atom_site_occupancy
Ca1 Ca 0.000 0.000 0.000 1
Sb1 Sb 0.500 0.500 0.000 1
Cl1 Cl 0.000 0.500 0.500 1
```

---

Question: Among the records above, which one has the highest total energy?
Answer: CaSe2SCl

---

Copy entry 3 word for word.
Below is a PBEsol-optimized structure of CaWSCl2, with properties calculated at the meta-GGA SCAN level.

Results
Total energy: -21.56 eV/atom
ΔE_f (raw): -0.569 eV per atom
D(E_F): 2.13 states/eV per cell

```
data_CaWSCl2
_chemical_formula_sum 'Ca1 W1 S1 Cl2'
_space_group_name_H-M_alt 'P 4/m m m'
_space_group_IT_number 123
_space_group_name_Hall '-P 4 2'
_cell_length_a 4.810
_cell_length_b 4.810
_cell_length_c 4.623
_cell_angle_alpha 90.00
_cell_angle_beta 90.00
_cell_angle_gamma 90.00
loop_
_atom_site_label
_atom_site_type_symbol
_atom_site_fract_x
_atom_site_fract_y
_atom_site_fract_z
_atom_site_occupancy
Ca1 Ca 0.000 0.000 0.000 1
W1 W 0.500 0.500 0.500 1
S1 S 0.500 0.500 0.000 1
Cl1 Cl 0.000 0.500 0.500 1
```